No. 1
Computed, not measured: GdPOsO after structural relaxation at the PBE-GGA level of DFT.

For the excess energy over the best structure of this formula in the dataset, the calculation gives 766 meV/atom.

It has space group Pmc2_1 (No. 26), with a = 3.2661 Å, b = 7.6970 Å, c = 5.2029 Å, α = 90.00°, β = 90.00° and γ = 90.00°. The asymmetric unit holds Gd at (0.0000, 0.1995, 0.0000), P at (0.0000, 0.4202, 0.4981), Os at (0.5000, 0.2164, 0.5028) and O at (0.5000, 0.0321, 0.8256).

---

No. 2
Computed, not measured: GdPOsO after structural relaxation at the PBE-GGA level of DFT.

For the excess energy over the best structure of this formula in the dataset, the calculation gives 0 meV/atom.

It has space group P4/nmm (No. 129, origin choice 2), with a = 4.0066 Å, b = 4.0066 Å, c = 7.9751 Å, α = 90.00°, β = 90.00° and γ = 90.00°. The asymmetric unit holds Gd at (0.2500, 0.2500, 0.1372), P at (0.2500, 0.2500, 0.6538), Os at (0.2500, 0.7500, 0.5000) and O at (0.2500, 0.7500, 0.0000).

---

No. 3
Computed, not measured: GdPOsO after structural relaxation at the PBE-GGA level of DFT.

For the excess energy over the best structure of this formula in the dataset, the calculation gives 604 meV/atom.

It has space group Pmc2_1 (No. 26), with a = 4.3811 Å, b = 4.2832 Å, c = 6.5335 Å, α = 90.00°, β = 90.00° and γ = 90.00°. The asymmetric unit holds Gd at (0.0000, 0.2038, 0.0000), P at (0.5000, 0.1826, 0.6925), Os at (0.5000, 0.3194, 0.3464) and O at (0.0000, 0.3023, 0.3445).

---

Number 1: energy -61.41 eV per cell. Number 2: energy -67.53 eV per cell. Number 3: energy -62.70 eV per cell.